A geometry-optimized La2Tb6CeTm3 structure, computed with PBE.

Values from the calculation:
Energy of formation (meV per atom): 44
Crystal system: monoclinic
Electronic total energy (eV per atom): -4.705

Geometry as POSCAR:
```
La2Tb6CeTm3
1.0
6.188 -0.003 0.005
-3.095 5.358 0.005
-1.045 -1.809 11.650
La Tb Ce Tm
2 6 1 3
Direct
0.334 0.666 0.000
0.666 0.334 0.000
0.915 0.585 0.745
0.754 0.754 0.255
0.085 0.415 0.255
0.585 0.915 0.745
0.246 0.246 0.745
0.415 0.085 0.255
0.000 0.000 0.000
0.167 0.833 0.500
0.833 0.167 0.500
0.500 0.500 0.500
```